Model w:
NaNiNF2 PBE+U optimized geometry; SG = P4/mmm; DOS at the Fermi energy = 0.786 states/eV per cell; theoretical density = 3.40 g/cm3
1.0
-1.4256 3.8505 0.3514
-2.8940 -1.3110 2.6245
2.3932 0.6171 2.9473
Ni Na F N
1 1 2 1
direct
0.0000 0.0000 0.0000 Ni
0.5000 0.5000 0.5000 Na
0.5000 0.0000 0.0000 F
0.0000 0.5000 0.0000 F
0.0000 0.0000 0.5000 N



Model x:
NaNiNF2 PBE+U optimized geometry; SG = P4/mmm; DOS at the Fermi energy = 1.953 states/eV per cell; theoretical density = 3.13 g/cm3
1.0
-2.6847 -2.9753 -0.5195
2.4860 -1.7821 -2.6408
1.8442 -2.2299 3.2408
F Ni Na N
2 1 1 1
direct
0.5000 0.0000 0.0000 F
0.0000 0.5000 0.0000 F
0.5000 0.5000 0.5000 Ni
0.0000 0.0000 0.0000 Na
0.0000 0.0000 0.5000 N



Ranking the structures above by stability puts model w first and model x last.